Entry from Alexandria: Hf5SnBi after structural relaxation (PBE).

a = 8.604 Å, b = 8.604 Å, c = 14.128 Å
α = 34.76°, β = 34.76°, γ = 55.67°
Fractional coordinates of all 14 atoms:
Hf  0.000  0.500  0.117
Hf  0.358  0.643  0.433
Hf  0.500  0.000  0.617
Hf  0.114  0.886  0.250
Hf  0.357  0.642  0.067
Hf  0.643  0.358  0.933
Hf  0.886  0.114  0.750
Hf  0.500  0.000  0.383
Hf  0.642  0.357  0.567
Hf  0.000  0.500  0.883
Sn  0.496  0.504  0.250
Sn  0.504  0.496  0.750
Bi  0.000  0.000  0.000
Bi  0.000  0.000  0.500

Results
**Total magnetic moment**: 0.000 μB per atom
**Formation enthalpy at 0 K**: -0.0961 eV/atom
**Raw total energy**: -8.332 eV/atom
**DOS(E_F)**: 10.32 states/eV/cell

---

Entry from Alexandria: Hf2Sn2Bi after structural relaxation (PBE).

a = 7.728 Å, b = 7.728 Å, c = 4.111 Å
α = 90.00°, β = 90.00°, γ = 90.00°
Fractional coordinates of all 10 atoms:
Hf  0.356  0.856  0.000
Hf  0.856  0.644  0.000
Hf  0.644  0.144  0.000
Hf  0.144  0.356  0.000
Bi  0.000  0.000  0.000
Bi  0.500  0.500  0.000
Sn  0.154  0.654  0.500
Sn  0.654  0.846  0.500
Sn  0.846  0.346  0.500
Sn  0.346  0.154  0.500

Results
**Total magnetic moment**: 0.000 μB per atom
**Energy above the most stable polymorph in this dataset**: 0 meV/atom
**Formation enthalpy at 0 K**: -0.1290 eV/atom
**Raw total energy**: -6.488 eV/atom
**DOS(E_F)**: 7.12 states/eV/cell

---

Entry from Alexandria: Hf8Sn2Bi after structural relaxation (PBE).

a = 4.430 Å, b = 7.423 Å, c = 8.241 Å
α = 108.79°, β = 105.59°, γ = 90.00°
Fractional coordinates of all 11 atoms:
Hf  0.410  0.543  0.820
Hf  0.684  0.916  0.368
Hf  0.856  0.799  0.712
Hf  0.953  0.266  0.906
Hf  0.144  0.201  0.288
Hf  0.316  0.084  0.632
Hf  0.590  0.457  0.180
Hf  0.047  0.734  0.094
Sn  0.778  0.349  0.556
Sn  0.222  0.651  0.444
Bi  0.500  0.000  0.000

Results
**Total magnetic moment**: 0.000 μB per atom
**Formation enthalpy at 0 K**: -0.1623 eV/atom
**Raw total energy**: -8.482 eV/atom
**DOS(E_F)**: 10.69 states/eV/cell

---

Entry from Alexandria: Hf6Sn2Bi after structural relaxation (PBE).

a = 5.067 Å, b = 8.677 Å, c = 9.123 Å
α = 90.00°, β = 90.00°, γ = 90.00°
Fractional coordinates of all 18 atoms:
Hf  0.000  0.001  0.163
Hf  0.000  0.664  0.576
Hf  0.000  0.663  0.912
Hf  0.500  0.163  0.588
Hf  0.500  0.164  0.924
Hf  0.500  0.501  0.337
Hf  0.000  0.999  0.837
Hf  0.000  0.336  0.424
Hf  0.000  0.337  0.088
Hf  0.500  0.837  0.412
Hf  0.500  0.836  0.076
Hf  0.500  0.499  0.663
Sn  0.000  0.333  0.753
Sn  0.500  0.833  0.747
Sn  0.500  0.167  0.253
Sn  0.000  0.667  0.247
Bi  0.500  0.500  0.000
Bi  0.000  0.000  0.500

Results
**Total magnetic moment**: 0.000 μB per atom
**Formation enthalpy at 0 K**: -0.1940 eV/atom
**Raw total energy**: -8.150 eV/atom
**DOS(E_F)**: 14.16 states/eV/cell

---

Entry from Alexandria: Hf2Sn2Bi after structural relaxation (PBE).

a = 4.810 Å, b = 4.810 Å, c = 6.865 Å
α = 69.49°, β = 69.49°, γ = 90.00°
Fractional coordinates of all 5 atoms:
Hf  0.750  0.250  0.500
Hf  0.250  0.750  0.500
Bi  0.000  0.000  0.000
Sn  0.384  0.384  0.231
Sn  0.616  0.616  0.769

Results
**Total magnetic moment**: 0.000 μB per atom
**Energy above the most stable polymorph in this dataset**: 366 meV/atom
**Formation enthalpy at 0 K**: 0.2369 eV/atom
**Raw total energy**: -6.122 eV/atom
**DOS(E_F)**: 6.76 states/eV/cell

---

Entry from Alexandria: HfSnBi2 after structural relaxation (PBE).

a = 3.918 Å, b = 5.868 Å, c = 10.102 Å
α = 90.00°, β = 90.00°, γ = 110.17°
Fractional coordinates of all 8 atoms:
Hf  0.773  0.546  0.750
Hf  0.227  0.454  0.250
Sn  0.946  0.892  0.250
Sn  0.054  0.108  0.750
Bi  0.366  0.724  0.531
Bi  0.634  0.276  0.469
Bi  0.366  0.724  0.969
Bi  0.634  0.276  0.031

Results
**Total magnetic moment**: 0.000 μB per atom
**Formation enthalpy at 0 K**: -0.0396 eV/atom
**Raw total energy**: -5.469 eV/atom
**DOS(E_F)**: 4.54 states/eV/cell

---

Entry from Alexandria: Hf5SnBi2 after structural relaxation (PBE).

a = 6.992 Å, b = 6.992 Å, c = 6.214 Å
α = 124.26°, β = 124.26°, γ = 89.96°
Fractional coordinates of all 8 atoms:
Hf  0.699  0.246  0.945
Hf  0.246  0.246  0.945
Hf  0.699  0.699  0.945
Hf  0.246  0.699  0.945
Hf  0.757  0.757  0.514
Sn  0.171  0.171  0.342
Bi  0.230  0.730  0.459
Bi  0.730  0.230  0.459

Results
**Total magnetic moment**: 0.000 μB per atom
**Formation enthalpy at 0 K**: -0.0600 eV/atom
**Raw total energy**: -7.751 eV/atom
**DOS(E_F)**: 5.83 states/eV/cell

---

Entry from Alexandria: Hf2SnBi after structural relaxation (PBE).

a = 4.073 Å, b = 4.778 Å, c = 4.778 Å
α = 90.00°, β = 90.00°, γ = 90.00°
Fractional coordinates of all 4 atoms:
Hf  0.000  0.000  0.500
Hf  0.000  0.500  0.000
Bi  0.500  0.000  0.000
Sn  0.500  0.500  0.500

Results
**Total magnetic moment**: 0.000 μB per atom
**Energy above the most stable polymorph in this dataset**: 132 meV/atom
**Formation enthalpy at 0 K**: -0.0340 eV/atom
**Raw total energy**: -6.982 eV/atom
**DOS(E_F)**: 2.90 states/eV/cell

---

Entry from Alexandria: Hf2SnBi after structural relaxation (PBE).

a = 4.151 Å, b = 4.151 Å, c = 7.266 Å
α = 73.40°, β = 73.40°, γ = 60.00°
Fractional coordinates of all 4 atoms:
Hf  0.256  0.256  0.232
Hf  0.744  0.744  0.768
Bi  0.500  0.500  0.500
Sn  0.000  0.000  0.000

Results
**Total magnetic moment**: 0.000 μB per atom
**Energy above the most stable polymorph in this dataset**: 123 meV/atom
**Formation enthalpy at 0 K**: -0.0432 eV/atom
**Raw total energy**: -6.991 eV/atom
**DOS(E_F)**: 2.07 states/eV/cell

---

Entry from Alexandria: HfSn3Bi after structural relaxation (PBE).

a = 5.554 Å, b = 5.554 Å, c = 5.554 Å
α = 90.00°, β = 90.00°, γ = 90.00°
Fractional coordinates of all 5 atoms:
Hf  0.000  0.000  0.000
Bi  0.500  0.500  0.500
Sn  0.000  0.500  0.000
Sn  0.000  0.000  0.500
Sn  0.500  0.000  0.000

Results
**Total magnetic moment**: 0.000 μB per atom
**Energy above the most stable polymorph in this dataset**: 0 meV/atom
**Formation enthalpy at 0 K**: 0.4310 eV/atom
**Raw total energy**: -4.738 eV/atom
**DOS(E_F)**: 3.60 states/eV/cell

---

Entry from Alexandria: Hf4SnBi after structural relaxation (PBE).

a = 5.880 Å, b = 7.557 Å, c = 7.663 Å
α = 114.92°, β = 101.38°, γ = 79.92°
Fractional coordinates of all 12 atoms:
Hf  0.620  0.154  0.986
Hf  0.728  0.613  0.190
Hf  0.380  0.846  0.014
Hf  0.272  0.387  0.810
Hf  0.072  0.944  0.671
Hf  0.225  0.660  0.237
Hf  0.928  0.056  0.329
Hf  0.775  0.340  0.763
Sn  0.878  0.759  0.921
Sn  0.122  0.241  0.079
Bi  0.500  0.000  0.500
Bi  0.000  0.500  0.500

Results
**Total magnetic moment**: 0.000 μB per atom
**Formation enthalpy at 0 K**: 0.0726 eV/atom
**Raw total energy**: -7.877 eV/atom
**DOS(E_F)**: 12.39 states/eV/cell

---

Entry from Alexandria: Hf2SnBi after structural relaxation (PBE).

a = 6.566 Å, b = 6.566 Å, c = 8.103 Å
α = 66.10°, β = 66.10°, γ = 90.00°
Fractional coordinates of all 8 atoms:
Hf  0.612  0.125  0.250
Hf  0.138  0.625  0.250
Hf  0.375  0.388  0.750
Hf  0.875  0.862  0.750
Bi  0.000  0.000  0.000
Bi  0.750  0.250  0.500
Sn  0.500  0.500  0.000
Sn  0.250  0.750  0.500

Results
**Total magnetic moment**: 0.000 μB per atom
**Energy above the most stable polymorph in this dataset**: 842 meV/atom
**Formation enthalpy at 0 K**: 0.6762 eV/atom
**Raw total energy**: -6.271 eV/atom
**DOS(E_F)**: 7.44 states/eV/cell